<A>
Entry from Alexandria via LeMat-Bulk: an optimized crystal structure of HgBiSb2Te (PBE).

Output
Its space group is P4/mmm. The value obtained for the density is 6.2 Mg/m³.

```
5
Lattice="5.902 0.000 0.000 0.000 5.902 0.000 0.000 0.000 6.040" Properties=species:S:1:pos:R:3 pbc="T T T"
Sb 0.000 2.951 0.000
Sb 2.951 0.000 0.000
Te 0.000 0.000 3.020
Bi 0.000 0.000 0.000
Hg 2.951 2.951 3.020
```

---

<B>
Entry from Alexandria via LeMat-Bulk: an optimized crystal structure of HgBiSb2Te (PBE).

Output
Its space group is P4/mmm. The value obtained for the density is 7.6 Mg/m³.

```
5
Lattice="-4.556 2.193 -2.218 1.056 -2.610 -4.750 -2.984 -4.416 1.764" Properties=species:S:1:pos:R:3 pbc="T T T"
Sb 0.528 -1.305 -2.375
Sb -2.278 1.096 -1.109
Te -1.492 -2.208 0.882
Bi -3.242 -2.417 -2.602
Hg 0.000 0.000 0.000
```

---

Pick <B>: it beats the second-best structure by 0.049 eV/atom.

---

<A>
Entry from Alexandria via LeMat-Bulk: an optimized crystal structure of TlHgBiSb (PBE).

Output
Its space group is F-43m. The value obtained for the density is 10.2 Mg/m³.

```
4
Lattice="5.531 0.000 0.000 2.765 4.790 0.000 2.765 1.597 4.516" Properties=species:S:1:pos:R:3 pbc="T T T"
Sb 8.296 4.790 3.387
Tl 0.000 0.000 0.000
Bi 5.531 3.193 2.258
Hg 2.765 1.597 1.129
```

---

<B>
Entry from Alexandria via LeMat-Bulk: an optimized crystal structure of TlHgBiSb (PBE).

Output
Its space group is Cm. The value obtained for the density is 8.3 Mg/m³.

```
4
Lattice="-3.957 0.722 1.258 2.389 -2.802 2.051 5.014 7.367 4.328" Properties=species:S:1:pos:R:3 pbc="T T T"
Tl 0.652 1.211 3.750
Hg 1.093 4.414 3.293
Bi 2.160 6.697 5.234
Sb 1.950 -1.751 2.504
```

---

Pick <A>: it beats the second-best structure by 0.023 eV/atom.

---

<A>
Entry from Alexandria via LeMat-Bulk: an optimized crystal structure of Sc2HgBi (PBE).

Output
Its space group is R-3m. The value obtained for the density is 7.7 Mg/m³.

```
4
Lattice="1.990 0.000 10.479 -0.995 1.723 10.479 -0.995 -1.723 10.479" Properties=species:S:1:pos:R:3 pbc="T T T"
Sc 0.000 0.000 28.455
Sc 0.000 0.000 2.983
Bi 0.000 0.000 0.000
Hg 0.000 0.000 15.719
```

---

<B>
Entry from Alexandria via LeMat-Bulk: an optimized crystal structure of Sc2HgBi (PBE).

Output
Its space group is Fm-3m. The value obtained for the density is 8.7 Mg/m³.

```
4
Lattice="0.000 3.622 3.622 3.622 0.000 3.622 3.622 3.622 0.000" Properties=species:S:1:pos:R:3 pbc="T T T"
Sc 1.811 1.811 1.811
Sc 5.433 5.433 5.433
Bi 3.622 3.622 3.622
Hg 0.000 0.000 0.000
```

---

<C>
Entry from Alexandria via LeMat-Bulk: an optimized crystal structure of Sc2HgBi (PBE).

Output
Its space group is P4/mmm. The value obtained for the density is 8.8 Mg/m³.

```
4
Lattice="4.075 0.000 0.000 0.000 4.820 0.000 0.000 0.000 4.820" Properties=species:S:1:pos:R:3 pbc="T T T"
Sc 0.000 0.000 2.410
Sc 0.000 2.410 0.000
Bi 2.037 0.000 0.000
Hg 2.037 2.410 2.410
```

---

<D>
Entry from Alexandria via LeMat-Bulk: an optimized crystal structure of Sc2HgBi (PBE).

Output
Its space group is P4/mmm. The value obtained for the density is 8.7 Mg/m³.

```
4
Lattice="-1.041 -1.824 3.166 3.591 0.099 1.238 -1.172 5.774 2.941" Properties=species:S:1:pos:R:3 pbc="T T T"
Sc -0.881 4.337 2.209
Sc -0.292 1.437 0.732
Bi 0.689 2.025 3.672
Hg 1.275 -0.863 2.202
```

---

Pick <D>: it beats the second-best structure by 0.010 eV/atom.

---

<A>
Entry from Alexandria via LeMat-Bulk: an optimized crystal structure of Sc2HgBi (PBE).

Output
Its space group is R-3m. The value obtained for the density is 6.6 Mg/m³.

```
4
Lattice="-9.803 0.268 0.777 -8.744 2.865 3.481 -9.010 3.940 -0.255" Properties=species:S:1:pos:R:3 pbc="T T T"
Sc -24.754 6.354 3.596
Sc -2.803 0.719 0.407
Bi -13.778 3.537 2.001
Hg 0.000 0.000 0.000
```

---

<B>
Entry from Alexandria via LeMat-Bulk: an optimized crystal structure of Sc2HgBi (PBE).

Output
Its space group is R3m. The value obtained for the density is 7.8 Mg/m³.

```
4
Lattice="-1.305 -3.877 -0.416 2.414 -3.118 1.165 -2.511 -2.076 6.902" Properties=species:S:1:pos:R:3 pbc="T T T"
Sc -1.802 -2.139 5.263
Sc -0.336 -2.269 1.880
Hg -0.712 -4.535 3.851
Bi -1.764 -6.741 7.384
```

---

Pick <B>: it beats the second-best structure by 0.382 eV/atom.

---

<A>
Entry from Alexandria via LeMat-Bulk: an optimized crystal structure of Hg3BiSe (PBE).

Output
Its space group is Pm-3m. The value obtained for the density is 7.5 Mg/m³.

```
5
Lattice="-1.759 -3.345 4.435 -4.415 -1.982 -3.246 3.372 -4.340 -1.936" Properties=species:S:1:pos:R:3 pbc="T T T"
Bi 0.000 0.000 0.000
Se -1.401 -4.834 -0.373
Hg -2.207 -0.991 -1.623
Hg 1.686 -2.170 -0.968
Hg -0.880 -1.672 2.218
```

---

<B>
Entry from Alexandria via LeMat-Bulk: an optimized crystal structure of Hg3BiSe (PBE).

Output
Its space group is Pm-3m. The value obtained for the density is 9.3 Mg/m³.

```
5
Lattice="5.424 0.000 0.000 0.000 5.424 0.000 0.000 0.000 5.424" Properties=species:S:1:pos:R:3 pbc="T T T"
Bi 2.712 2.712 2.712
Se 0.000 0.000 0.000
Hg 0.000 2.712 0.000
Hg 0.000 0.000 2.712
Hg 2.712 0.000 0.000
```

---

Pick <B>: it beats the second-best structure by 0.012 eV/atom.

---

<A>
Entry from Alexandria via LeMat-Bulk: an optimized crystal structure of HgBi2Se2 (PBE).

Output
Its space group is P4/mbm. The value obtained for the density is 9.4 Mg/m³.

```
10
Lattice="-2.835 -5.329 -6.068 7.573 -3.988 -0.037 -1.225 -2.351 2.636" Properties=species:S:1:pos:R:3 pbc="T T T"
Bi 3.896 -4.588 0.370
Bi 3.958 -8.031 -2.671
Bi -0.383 -7.079 -3.839
Bi -0.445 -3.635 -0.797
Se 5.450 -5.265 -2.162
Se 2.501 -7.123 -5.189
Se -0.712 -4.051 -3.943
Se 2.237 -2.193 -0.916
Hg 0.000 0.000 0.000
Hg 2.369 -4.658 -3.052
```

---

<B>
Entry from Alexandria via LeMat-Bulk: an optimized crystal structure of HgBi2Se2 (PBE).

Output
Its space group is I4/mmm. The value obtained for the density is 8.4 Mg/m³.

```
5
Lattice="4.757 0.000 0.000 0.000 4.757 0.000 2.379 2.379 6.810" Properties=species:S:1:pos:R:3 pbc="T T T"
Bi 4.757 2.379 3.405
Bi 2.379 4.757 3.405
Se 2.379 2.379 1.242
Se 4.757 4.757 5.568
Hg 0.000 0.000 0.000
```

---

Pick <A>: it beats the second-best structure by 0.107 eV/atom.

---

<A>
Entry from Alexandria via LeMat-Bulk: an optimized crystal structure of HgBi2Se2 (PBE).

Output
Its space group is P4/mbm. The value obtained for the density is 8.8 Mg/m³.

```
10
Lattice="8.581 0.000 0.000 0.000 8.581 0.000 0.000 0.000 3.985" Properties=species:S:1:pos:R:3 pbc="T T T"
Bi 2.663 6.953 0.000
Bi 6.953 5.919 0.000
Bi 5.919 1.628 0.000
Bi 1.628 2.663 0.000
Se 1.251 5.542 1.993
Se 5.542 7.330 1.993
Se 7.330 3.039 1.993
Se 3.039 1.251 1.993
Hg 0.000 0.000 0.000
Hg 4.291 4.291 0.000
```

---

<B>
Entry from Alexandria via LeMat-Bulk: an optimized crystal structure of HgBi2Se2 (PBE).

Output
Its space group is I4/mmm. The value obtained for the density is 8.0 Mg/m³.

```
5
Lattice="5.687 0.000 0.000 0.000 5.687 0.000 2.844 2.844 4.960" Properties=species:S:1:pos:R:3 pbc="T T T"
Bi 2.844 2.844 1.648
Bi 5.687 5.687 3.311
Se 5.687 2.844 2.480
Se 2.844 5.687 2.480
Hg 0.000 0.000 0.000
```

---

Pick <B>: it beats the second-best structure by 0.044 eV/atom.

---

<A>
Entry from Alexandria via LeMat-Bulk: an optimized crystal structure of Si2Hg2Bi (PBE).

Output
Its space group is I4/mmm. The value obtained for the density is 9.4 Mg/m³.

```
5
Lattice="-4.513 0.274 -0.671 0.162 -3.744 -2.617 -3.046 -4.946 2.896" Properties=species:S:1:pos:R:3 pbc="T T T"
Si -2.357 -2.402 -0.701
Si -5.041 -6.014 0.309
Bi 0.000 0.000 0.000
Hg -4.868 -3.204 0.290
Hg -2.530 -5.213 -0.683
```

---

<B>
Entry from Alexandria via LeMat-Bulk: an optimized crystal structure of Si2Hg2Bi (PBE).

Output
Its space group is P4/mbm. The value obtained for the density is 9.4 Mg/m³.

```
10
Lattice="-4.517 -5.181 2.810 5.076 -1.621 5.171 -1.728 2.923 2.612" Properties=species:S:1:pos:R:3 pbc="T T T"
Si 2.754 -3.439 5.670
Si -0.889 -5.587 5.664
Si -2.195 -3.363 2.312
Si 1.448 -1.215 2.317
Bi 0.000 0.000 0.000
Bi 0.279 -3.401 3.991
Hg 1.775 -0.572 5.326
Hg 0.229 -3.390 7.458
Hg -2.943 -3.307 5.267
Hg -1.398 -0.489 3.135
```

---

<C>
Entry from Alexandria via LeMat-Bulk: an optimized crystal structure of Si2Hg2Bi (PBE).

Output
Its space group is I4/mmm. The value obtained for the density is 9.5 Mg/m³.

```
5
Lattice="-1.029 -0.807 3.238 1.485 -3.145 -0.312 8.430 1.550 4.947" Properties=species:S:1:pos:R:3 pbc="T T T"
Si 3.815 -0.616 4.824
Si 5.072 -1.786 3.049
Bi 0.000 0.000 0.000
Hg 2.173 -1.140 2.289
Hg 6.714 -1.262 5.584
```

---

Pick <C>: it beats the second-best structure by 0.120 eV/atom.

---

<A>
Entry from Alexandria via LeMat-Bulk: an optimized crystal structure of Si2HgBi2 (PBE).

Output
Its space group is I4/mmm. The value obtained for the density is 8.5 Mg/m³.

```
5
Lattice="-0.383 5.338 0.801 -4.526 0.120 -2.964 -4.898 1.999 2.621" Properties=species:S:1:pos:R:3 pbc="T T T"
Si -3.103 2.535 -0.098
Si -6.704 4.922 0.557
Bi -3.868 5.033 1.171
Bi -5.939 2.424 -0.712
Hg 0.000 0.000 0.000
```

---

<B>
Entry from Alexandria via LeMat-Bulk: an optimized crystal structure of Si2HgBi2 (PBE).

Output
Its space group is P4/mbm. The value obtained for the density is 8.9 Mg/m³.

```
10
Lattice="8.138 0.000 0.000 0.000 8.138 0.000 0.000 0.000 3.789" Properties=species:S:1:pos:R:3 pbc="T T T"
Si 3.180 7.249 0.000
Si 7.249 4.959 0.000
Si 4.959 0.889 0.000
Si 0.889 3.180 0.000
Bi 1.418 5.487 1.894
Bi 5.487 6.720 1.894
Bi 6.720 2.651 1.894
Bi 2.651 1.418 1.894
Hg 0.000 0.000 0.000
Hg 4.069 4.069 0.000
```

---

Pick <A>: it beats the second-best structure by 0.090 eV/atom.

---

<A>
Entry from Alexandria via LeMat-Bulk: an optimized crystal structure of SmHg2Bi2 (PBE).

Output
Its space group is C2/m. The value obtained for the density is 10.8 Mg/m³.

```
10
Lattice="0.535 -2.888 -3.526 -3.089 -2.846 1.862 -12.507 6.293 -4.064" Properties=species:S:1:pos:R:3 pbc="T T T"
Sm -8.798 2.906 -3.714
Sm -6.263 -2.347 -2.013
Hg -3.459 -1.802 0.951
Hg -13.342 2.245 -3.861
Hg -11.601 2.361 -6.678
Hg -1.719 -1.686 -1.866
Bi -6.622 0.273 -4.214
Bi -8.439 0.286 -1.514
Bi -10.510 0.307 -4.831
Bi -4.551 0.252 -0.896
```

---

<B>
Entry from Alexandria via LeMat-Bulk: an optimized crystal structure of SmHg2Bi2 (PBE).

Output
Its space group is P6_3/mmc. The value obtained for the density is 10.1 Mg/m³.

```
10
Lattice="-0.376 3.766 3.762 1.974 -4.805 1.222 11.843 4.119 -2.939" Properties=species:S:1:pos:R:3 pbc="T T T"
Sm 2.961 1.030 -0.735
Sm 8.882 3.090 -2.204
Hg 9.290 3.999 0.711
Hg 0.000 0.000 0.000
Hg 5.921 2.060 -1.469
Hg 4.152 -0.918 1.334
Bi 8.605 0.631 0.229
Bi 1.900 1.428 2.545
Bi 4.836 2.449 1.817
Bi 11.541 1.652 -0.500
```

---

Pick <A>: it beats the second-best structure by 0.121 eV/atom.

---

<A>
Entry from Alexandria via LeMat-Bulk: an optimized crystal structure of SmSnHgBi (PBE).

Output
Its space group is F-43m. The value obtained for the density is 9.8 Mg/m³.

```
4
Lattice="-5.286 1.271 -0.451 -3.289 -0.435 4.330 -1.941 4.491 2.413" Properties=species:S:1:pos:R:3 pbc="T T T"
Sn -2.629 1.332 1.573
Bi -5.258 2.664 3.146
Sm -7.887 3.996 4.719
Hg 0.000 0.000 0.000
```

---

<B>
Entry from Alexandria via LeMat-Bulk: an optimized crystal structure of SmSnHgBi (PBE).

Output
Its space group is Pmmm. The value obtained for the density is 10.3 Mg/m³.

```
4
Lattice="4.588 0.000 0.000 0.000 4.861 0.000 0.000 0.000 4.904" Properties=species:S:1:pos:R:3 pbc="T T T"
Sm 2.294 0.000 2.452
Sn 0.000 0.000 0.000
Hg 2.294 2.431 0.000
Bi 0.000 2.431 2.452
```

---

Pick <B>: it beats the second-best structure by 0.173 eV/atom.

---

<A>
Entry from Alexandria via LeMat-Bulk: an optimized crystal structure of Sn2HgBi (PBE).

Output
Its space group is P2_1/c. The value obtained for the density is 9.0 Mg/m³.

```
16
Lattice="7.038 0.000 0.000 0.000 8.276 -3.840 0.000 -1.063 8.727" Properties=species:S:1:pos:R:3 pbc="T T T"
Sn 3.762 1.017 5.128
Sn 6.972 1.609 0.558
Sn 0.243 1.528 6.043
Sn 3.276 6.197 -0.241
Sn 0.066 5.604 4.329
Sn 3.453 1.998 1.886
Sn 3.585 5.216 3.001
Sn 6.795 5.686 -1.156
Hg 2.366 -0.393 7.570
Hg 5.885 2.937 3.601
Hg 4.672 7.607 -2.683
Hg 1.153 4.276 1.286
Bi 5.971 6.911 1.679
Bi 4.586 3.304 -0.764
Bi 1.067 0.303 3.207
Bi 2.452 3.910 5.651
```

---

<B>
Entry from Alexandria via LeMat-Bulk: an optimized crystal structure of Sn2HgBi (PBE).

Output
Its space group is P4/mmm. The value obtained for the density is 9.5 Mg/m³.

```
4
Lattice="-3.043 -1.847 1.549 2.345 -2.845 1.216 1.075 3.650 6.464" Properties=species:S:1:pos:R:3 pbc="T T T"
Bi 0.189 -0.520 4.615
Sn 0.811 2.752 4.874
Sn 0.265 0.898 1.590
Hg -0.349 -2.346 1.383
```

---

Pick <B>: it beats the second-best structure by 0.007 eV/atom.